(i)
VASP calculation (PBE-GGA) on a relaxed Cd7Au crystal.

Unit cell a=9.6391 b=9.6391 c=9.6391 alpha=153.88 beta=153.88 gamma=37.27
Closest atoms and distances in Å follow each position.
Fractional positions:
Cd (0.0000, 0.0000, 0.0000)  4 Au 3.08, 8 Cd 3.10
Cd (0.1205, 0.6205, 0.5000)  10 Cd 3.08-3.24, 2 Au 3.10
Cd (0.2482, 0.2482, 0.0000)  12 Cd 3.08-3.24
Cd (0.3795, 0.8795, 0.5000)  10 Cd 3.08-3.24, 2 Au 3.10
Cd (0.6205, 0.1205, 0.5000)  10 Cd 3.08-3.24, 2 Au 3.10
Cd (0.7518, 0.7518, 0.0000)  12 Cd 3.08-3.24
Cd (0.8795, 0.3795, 0.5000)  10 Cd 3.08-3.24, 2 Au 3.10
Au (0.5000, 0.5000, 0.0000)  12 Cd 3.08-3.10

Results
Space-group type: I4/mmm
Density of states at the Fermi level, states/eV per cell: 2.88

(ii)
VASP calculation (PBE-GGA) on a relaxed Cd7Au crystal.

Unit cell a=6.2424 b=6.2424 c=6.2424 alpha=60.00 beta=60.00 gamma=60.00
Closest atoms and distances in Å follow each position.
Fractional positions:
Cd (0.0000, 0.0000, 0.0000)  12 Cd 3.12
Cd (0.0000, 0.0000, 0.5000)  10 Cd 3.12, 2 Au 3.12
Cd (0.0000, 0.5000, 0.0000)  10 Cd 3.12, 2 Au 3.12
Cd (0.0000, 0.5000, 0.5000)  10 Cd 3.12, 2 Au 3.12
Cd (0.5000, 0.0000, 0.0000)  10 Cd 3.12, 2 Au 3.12
Cd (0.5000, 0.0000, 0.5000)  10 Cd 3.12, 2 Au 3.12
Cd (0.5000, 0.5000, 0.0000)  10 Cd 3.12, 2 Au 3.12
Au (0.5000, 0.5000, 0.5000)  12 Cd 3.12

Results
Space-group type: Fm-3m
Density of states at the Fermi level, states/eV per cell: 2.73

Quick one: least stable of them? (i)

(i)
VASP calculation (PBE-GGA) on a relaxed Cd7Au5 crystal.

Unit cell a=5.1214 b=5.1214 c=11.9265 alpha=99.28 beta=99.28 gamma=54.79
Closest atoms and distances in Å follow each position.
Fractional positions:
Cd (0.0000, 0.0000, 0.0000)  6 Au 2.87-3.03, 2 Cd 3.00
Cd (0.1726, 0.1726, 0.8086)  5 Au 2.93-2.96, 5 Cd 2.96-3.11
Cd (0.1741, 0.1741, 0.5481)  6 Au 2.84-3.12, 5 Cd 3.06-3.18
Cd (0.4686, 0.4686, 0.7378)  5 Au 2.86-2.97, 4 Cd 2.96-3.18
Cd (0.5314, 0.5314, 0.2622)  5 Au 2.86-2.97, 4 Cd 2.96-3.18
Cd (0.8259, 0.8259, 0.4519)  6 Au 2.84-3.12, 5 Cd 3.06-3.18
Cd (0.8274, 0.8274, 0.1914)  5 Au 2.93-2.96, 5 Cd 2.96-3.11
Au (0.2181, 0.2181, 0.3024)  8 Cd 2.89-3.03, 1 Au 3.15
Au (0.3388, 0.3388, 0.0438)  7 Cd 2.86-3.03, 2 Au 2.94
Au (0.5000, 0.5000, 0.5000)  8 Cd 2.84-3.12, 2 Au 3.15
Au (0.6612, 0.6612, 0.9562)  7 Cd 2.86-3.03, 2 Au 2.94
Au (0.7819, 0.7819, 0.6976)  8 Cd 2.89-3.03, 1 Au 3.15

Results
Space-group type: C2/m
Density of states at the Fermi level, states/eV per cell: 2.94

(ii)
VASP calculation (PBE-GGA) on a relaxed Cd7Au5 crystal.

Unit cell a=4.6414 b=4.6414 c=13.4615 alpha=101.32 beta=101.32 gamma=64.70
Closest atoms and distances in Å follow each position.
Fractional positions:
Cd (0.0000, 0.0000, 0.0000)  6 Au 2.90-2.92, 2 Cd 3.12
Cd (0.1308, 0.1308, 0.7235)  5 Au 2.81-2.94, 3 Cd 2.97-3.06
Cd (0.3640, 0.3640, 0.1547)  5 Au 2.92-3.00, 3 Cd 2.97-3.12
Cd (0.3793, 0.3793, 0.5783)  7 Au 2.88-3.05, 2 Cd 3.06-3.14
Cd (0.6207, 0.6207, 0.4217)  7 Au 2.88-3.05, 2 Cd 3.06-3.14
Cd (0.6360, 0.6360, 0.8453)  5 Au 2.92-3.00, 3 Cd 2.97-3.12
Cd (0.8692, 0.8692, 0.2765)  5 Au 2.81-2.94, 3 Cd 2.97-3.06
Au (0.0000, 0.0000, 0.5000)  8 Cd 2.92-2.94, 2 Au 3.13
Au (0.2456, 0.2456, 0.3470)  8 Cd 2.88-3.05, 1 Au 3.13
Au (0.3236, 0.3236, 0.9278)  8 Cd 2.81-3.00, 1 Au 2.99
Au (0.6764, 0.6764, 0.0722)  8 Cd 2.81-3.00, 1 Au 2.99
Au (0.7544, 0.7544, 0.6530)  8 Cd 2.88-3.05, 1 Au 3.13

Results
Space-group type: C2/m
Density of states at the Fermi level, states/eV per cell: 3.17

Quick one: least stable of them? (i)

(i)
VASP calculation (PBE-GGA) on a relaxed Cd4Au3 crystal.

Unit cell a=10.8404 b=10.8404 c=10.8404 alpha=160.60 beta=160.60 gamma=27.57
Closest atoms and distances in Å follow each position.
Fractional positions:
Cd (0.0704, 0.0704, 0.0000)  5 Cd 2.97-3.06, 5 Au 2.98-2.99
Cd (0.3512, 0.3512, 0.0000)  6 Au 2.91-3.13, 4 Cd 3.06
Cd (0.6488, 0.6488, 0.0000)  6 Au 2.91-3.13, 4 Cd 3.06
Cd (0.9296, 0.9296, 0.0000)  5 Cd 2.97-3.06, 5 Au 2.98-2.99
Au (0.2123, 0.2123, 0.0000)  6 Cd 2.91-2.99, 4 Au 3.03
Au (0.5000, 0.5000, 0.0000)  10 Cd 2.98-3.13
Au (0.7877, 0.7877, 0.0000)  6 Cd 2.91-2.99, 4 Au 3.03

Results
Space-group type: I4/mmm
Density of states at the Fermi level, states/eV per cell: 2.47

(ii)
VASP calculation (PBE-GGA) on a relaxed Cd4Au3 crystal.

Unit cell a=6.9520 b=6.9520 c=5.7506 alpha=108.94 beta=108.94 gamma=36.99
Closest atoms and distances in Å follow each position.
Fractional positions:
Cd (0.0633, 0.0633, 0.3307)  5 Au 2.84-3.00, 1 Cd 2.97
Cd (0.3334, 0.3334, 0.2061)  5 Au 2.83-3.00
Cd (0.6666, 0.6666, 0.7939)  5 Au 2.83-3.00
Cd (0.9367, 0.9367, 0.6693)  5 Au 2.84-3.00, 1 Cd 2.97
Au (0.2834, 0.2834, 0.6775)  3 Au 2.82-2.93, 7 Cd 2.88-3.00
Au (0.5000, 0.5000, 0.0000)  2 Au 2.82, 6 Cd 2.83-2.84
Au (0.7166, 0.7166, 0.3225)  3 Au 2.82-2.93, 7 Cd 2.88-3.00

Results
Space-group type: C2/m
Density of states at the Fermi level, states/eV per cell: 1.82

(iii)
VASP calculation (PBE-GGA) on a relaxed Cd4Au3 crystal.

Unit cell a=8.0997 b=8.0997 c=8.0997 alpha=34.11 beta=34.11 gamma=34.11
Closest atoms and distances in Å follow each position.
Fractional positions:
Cd (0.1207, 0.1207, 0.1207)  7 Au 2.88-2.98
Cd (0.3722, 0.3722, 0.3722)  5 Au 2.77-2.92
Cd (0.6278, 0.6278, 0.6278)  5 Au 2.77-2.92
Cd (0.8793, 0.8793, 0.8793)  7 Au 2.88-2.98
Au (0.2509, 0.2509, 0.2509)  8 Cd 2.77-2.98
Au (0.5000, 0.5000, 0.5000)  8 Cd 2.92-2.94
Au (0.7491, 0.7491, 0.7491)  8 Cd 2.77-2.98

Results
Space-group type: R-3m
Density of states at the Fermi level, states/eV per cell: 3.31

Quick one: least stable of them? (i)

(i)
VASP calculation (PBE-GGA) on a relaxed Cd3Au13 crystal.

Unit cell a=8.0959 b=6.0483 c=6.0483 alpha=89.66 beta=90.00 gamma=90.00
Closest atoms and distances in Å follow each position.
Fractional positions:
Cd (0.0000, 0.0000, 0.0000)  10 Au 2.89-3.04, 2 Cd 3.08
Cd (0.2558, 0.2656, 0.2656)  11 Au 2.90-3.04, 1 Cd 3.08
Cd (0.7442, 0.2656, 0.2656)  11 Au 2.90-3.04, 1 Cd 3.08
Au (0.0000, 0.0124, 0.5023)  8 Au 2.93-3.03, 4 Cd 2.94-3.04
Au (0.0000, 0.5023, 0.0124)  8 Au 2.93-3.03, 4 Cd 2.94-3.04
Au (0.0000, 0.5107, 0.5107)  10 Au 2.93-3.03, 2 Cd 2.95
Au (0.2492, 0.7585, 0.7585)  1 Cd 2.89, 11 Au 2.92-3.03
Au (0.2509, 0.2595, 0.7630)  9 Au 2.92-3.03, 3 Cd 2.94-3.04
Au (0.2509, 0.7630, 0.2595)  9 Au 2.92-3.03, 3 Cd 2.94-3.04
Au (0.5000, 0.0087, 0.5140)  2 Cd 2.92, 10 Au 2.93-3.05
Au (0.5000, 0.0101, 0.0101)  10 Au 2.92-3.05, 2 Cd 2.95
Au (0.5000, 0.5133, 0.5133)  2 Cd 2.90, 10 Au 2.92-3.05
Au (0.5000, 0.5140, 0.0087)  2 Cd 2.92, 10 Au 2.93-3.05
Au (0.7491, 0.2595, 0.7630)  9 Au 2.92-3.03, 3 Cd 2.94-3.04
Au (0.7491, 0.7630, 0.2595)  9 Au 2.92-3.03, 3 Cd 2.94-3.04
Au (0.7508, 0.7585, 0.7585)  1 Cd 2.89, 11 Au 2.92-3.03

Results
Space-group type: Amm2
Density of states at the Fermi level, states/eV per cell: 4.33

(ii)
VASP calculation (PBE-GGA) on a relaxed Cd3Au13 crystal.

Unit cell a=6.0572 b=6.9921 c=6.9921 alpha=87.72 beta=90.00 gamma=90.00
Closest atoms and distances in Å follow each position.
Fractional positions:
Cd (0.0000, 0.0000, 0.0000)  10 Au 2.89-3.03, 2 Cd 3.07
Cd (0.2529, 0.7360, 0.7360)  9 Au 2.90-2.99, 3 Cd 2.99-3.07
Cd (0.7471, 0.7360, 0.7360)  9 Au 2.90-2.99, 3 Cd 2.99-3.07
Au (0.0000, 0.4158, 0.9146)  9 Au 2.93-3.03, 3 Cd 2.94-2.95
Au (0.0000, 0.4897, 0.4897)  10 Au 2.91-3.03, 2 Cd 2.92
Au (0.0000, 0.9146, 0.4158)  9 Au 2.93-3.03, 3 Cd 2.94-2.95
Au (0.2495, 0.1612, 0.6661)  10 Au 2.93-3.04, 2 Cd 2.97-2.99
Au (0.2495, 0.6661, 0.1612)  10 Au 2.93-3.04, 2 Cd 2.97-2.99
Au (0.2513, 0.2440, 0.2440)  1 Cd 2.89, 11 Au 2.90-3.04
Au (0.5000, 0.4100, 0.9148)  10 Au 2.93-3.03, 2 Cd 2.96
Au (0.5000, 0.4897, 0.4897)  2 Cd 2.90, 10 Au 2.90-3.03
Au (0.5000, 0.9148, 0.4100)  10 Au 2.93-3.03, 2 Cd 2.96
Au (0.5000, 0.9895, 0.9895)  8 Au 2.94-2.98, 4 Cd 2.96-3.03
Au (0.7487, 0.2440, 0.2440)  1 Cd 2.89, 11 Au 2.90-3.04
Au (0.7505, 0.1612, 0.6661)  10 Au 2.93-3.04, 2 Cd 2.97-2.99
Au (0.7505, 0.6661, 0.1612)  10 Au 2.93-3.04, 2 Cd 2.97-2.99

Results
Space-group type: Amm2
Density of states at the Fermi level, states/eV per cell: 2.63

Quick one: least stable of them? (ii)

(i)
VASP calculation (PBE-GGA) on a relaxed Cd5Au4 crystal.

Unit cell a=5.3549 b=5.3549 c=9.1300 alpha=110.23 beta=110.23 gamma=46.62
Closest atoms and distances in Å follow each position.
Fractional positions:
Cd (0.0000, 0.0000, 0.0000)  6 Au 2.95-3.06, 6 Cd 3.06-3.13
Cd (0.3322, 0.3322, 0.4465)  8 Au 2.94-3.10, 4 Cd 3.02-3.07
Cd (0.3425, 0.3425, 0.1199)  6 Au 2.92-3.03, 6 Cd 3.02-3.13
Cd (0.6575, 0.6575, 0.8801)  6 Au 2.92-3.03, 6 Cd 3.02-3.13
Cd (0.6678, 0.6678, 0.5535)  8 Au 2.94-3.10, 4 Cd 3.02-3.07
Au (0.0036, 0.0036, 0.3364)  8 Cd 2.92-3.10, 4 Au 3.02-3.13
Au (0.3282, 0.3282, 0.7837)  9 Cd 2.95-3.09, 3 Au 3.03-3.13
Au (0.6718, 0.6718, 0.2163)  9 Cd 2.95-3.09, 3 Au 3.03-3.13
Au (0.9964, 0.9964, 0.6636)  8 Cd 2.92-3.10, 4 Au 3.02-3.13

Results
Space-group type: C2/m
Density of states at the Fermi level, states/eV per cell: 2.48

(ii)
VASP calculation (PBE-GGA) on a relaxed Cd5Au4 crystal.

Unit cell a=4.7034 b=4.7034 c=10.2935 alpha=103.46 beta=103.46 gamma=60.19
Closest atoms and distances in Å follow each position.
Fractional positions:
Cd (0.0000, 0.0000, 0.0000)  6 Au 2.82
Cd (0.1433, 0.1433, 0.4277)  3 Au 2.81, 3 Cd 3.07-3.09
Cd (0.2570, 0.2570, 0.7753)  7 Au 2.97-3.10
Cd (0.7430, 0.7430, 0.2247)  7 Au 2.97-3.10
Cd (0.8567, 0.8567, 0.5723)  3 Au 2.81, 3 Cd 3.07-3.09
Au (0.3593, 0.3593, 0.0751)  4 Au 2.78-3.10, 7 Cd 2.82-3.10
Au (0.4530, 0.4530, 0.3553)  2 Au 2.78-2.87, 6 Cd 2.81-3.01
Au (0.5470, 0.5470, 0.6447)  2 Au 2.78-2.87, 6 Cd 2.81-3.01
Au (0.6407, 0.6407, 0.9249)  4 Au 2.78-3.10, 7 Cd 2.82-3.10

Results
Space-group type: C2/m
Density of states at the Fermi level, states/eV per cell: 3.21

Quick one: least stable of them? (ii)